1.
DFT (PBE) results for a relaxed Tb2ZnIr2Rh5 crystal.

a = 3.9849 Å, b = 9.3465 Å, c = 9.3465 Å
α = 90.00°, β = 90.00°, γ = 90.00°
With the nearest neighbours (Å) after each atom.
Fractional positions:
Ir 0.0000 0.8663 0.3663  6 Rh 2.62-2.66, 3 Tb 2.66-2.81
Rh 0.5000 0.3034 0.5673  2 Ir 2.62, 3 Rh 2.75-2.91, 2 Zn 2.78
Ir 0.0000 0.3663 0.1337  6 Rh 2.62-2.66, 3 Tb 2.66-2.81
Tb 0.0000 0.6651 0.1651  3 Ir 2.66-2.81, 2 Rh 2.96
Zn 0.0000 0.0000 0.0000  8 Rh 2.78
Ir 0.0000 0.6337 0.8663  6 Rh 2.62-2.66, 3 Tb 2.66-2.81
Rh 0.5000 0.1966 0.0673  2 Ir 2.62, 3 Rh 2.75-2.91, 2 Zn 2.78
Zn 0.0000 0.5000 0.5000  8 Rh 2.78
Ir 0.0000 0.1337 0.6337  6 Rh 2.62-2.66, 3 Tb 2.66-2.81
Rh 0.5000 0.6966 0.4327  2 Ir 2.62, 3 Rh 2.75-2.91, 2 Zn 2.78
Rh 0.5000 0.0673 0.8034  2 Ir 2.62, 3 Rh 2.75-2.91, 2 Zn 2.78
Rh 0.5000 0.5673 0.6966  2 Ir 2.62, 3 Rh 2.75-2.91, 2 Zn 2.78
Rh 0.5000 0.5000 0.0000  4 Ir 2.66, 4 Rh 2.91, 4 Tb 2.96
Tb 0.0000 0.8349 0.6651  3 Ir 2.66-2.81, 2 Rh 2.96
Rh 0.5000 0.8034 0.9327  2 Ir 2.62, 3 Rh 2.75-2.91, 2 Zn 2.78
Rh 0.5000 0.0000 0.5000  4 Ir 2.66, 4 Rh 2.91, 4 Tb 2.96
Rh 0.5000 0.4327 0.3034  2 Ir 2.62, 3 Rh 2.75-2.91, 2 Zn 2.78
Tb 0.0000 0.3349 0.8349  3 Ir 2.66-2.81, 2 Rh 2.96
Rh 0.5000 0.9327 0.1966  2 Ir 2.62, 3 Rh 2.75-2.91, 2 Zn 2.78
Tb 0.0000 0.1651 0.3349  3 Ir 2.66-2.81, 2 Rh 2.96

Computed properties:
E	-137.35	eV for the cell shown
magnetization	0.0	μB per cell
crystal system	tetragonal

2.
DFT (PBE) results for a relaxed Dy4FeI5 crystal.

a = 4.0613 Å, b = 9.0524 Å, c = 9.8164 Å
α = 102.80°, β = 101.94°, γ = 90.00°
With the nearest neighbours (Å) after each atom.
Fractional positions:
I 0.1723 0.8338 0.3446  3 Dy 3.15-3.24
Dy 0.6316 0.0669 0.2632  1 Fe 2.46
I 0.8334 0.6647 0.6668  3 Dy 3.12-3.16
Fe 0.5000 0.0000 0.0000  2 Dy 2.46
I 0.1666 0.3353 0.3332  3 Dy 3.12-3.16
I 0.8277 0.1662 0.6554  3 Dy 3.15-3.24
Dy 0.0005 0.7937 0.0011  2 Fe 2.76
Dy 0.3684 0.9331 0.7368  1 Fe 2.46
Dy 0.9995 0.2063 0.9989  2 Fe 2.76
I 0.5000 0.5000 0.0000  4 Dy 3.34

Computed properties:
E	-44.14	eV for the cell shown
magnetization	0.0	μB per cell
crystal system	monoclinic

3.
DFT (PBE) results for a relaxed SmPuTlBr6 crystal.

a = 7.5418 Å, b = 7.5418 Å, c = 14.6339 Å
α = 90.00°, β = 90.00°, γ = 120.00°
With the nearest neighbours (Å) after each atom.
Fractional positions:
Br 0.6402 0.0093 0.3649  1 Sm 2.89, 1 Pu 2.98
Br 0.6402 0.6309 0.1351  1 Sm 2.89, 1 Pu 2.98
Br 0.6309 0.6402 0.6351  1 Sm 2.89, 1 Pu 2.98
Br 0.9907 0.3598 0.1351  1 Sm 2.89, 1 Pu 2.98
Br 0.3691 0.3598 0.3649  1 Sm 2.89, 1 Pu 2.98
Br 0.9907 0.6309 0.3649  1 Sm 2.89, 1 Pu 2.98
Br 0.6309 0.9907 0.8649  1 Sm 2.89, 1 Pu 2.98
Sm 0.6667 0.3333 0.2500  6 Br 2.89
Tl 0.0000 0.0000 0.5000  6 Br 3.39
Br 0.3598 0.9907 0.6351  1 Sm 2.89, 1 Pu 2.98
Br 0.3598 0.3691 0.8649  1 Sm 2.89, 1 Pu 2.98
Br 0.3691 0.0093 0.1351  1 Sm 2.89, 1 Pu 2.98
Tl 0.0000 0.0000 0.0000  6 Br 3.39
Sm 0.3333 0.6667 0.7500  6 Br 2.89
Pu 0.6667 0.3333 0.7500  6 Br 2.98
Br 0.0093 0.3691 0.6351  1 Sm 2.89, 1 Pu 2.98
Br 0.0093 0.6402 0.8649  1 Sm 2.89, 1 Pu 2.98
Pu 0.3333 0.6667 0.2500  6 Br 2.98

Computed properties:
E	-90.06	eV for the cell shown
magnetization	12.0	μB per cell
crystal system	trigonal

Fermi-level density of states readings, ordered: 12.541 6.228 17.555 states/eV/f.u.